Entry 1:
A plane-wave DFT calculation with PBE was carried out for a relaxed Sm6Y2ErTh crystal.

Values from the calculation:
ΔE_f = 0.1501 eV/atom
Crystal system = monoclinic
VASP energy = -5.172 eV per atom

Cell lengths 9.445, 8.874, 8.874 Å; angles 115.39, 92.79, 92.79 degrees
Fractional positions:
Sm  0.061  0.113  0.766
Sm  0.439  0.234  0.887
Sm  0.939  0.887  0.234
Sm  0.561  0.766  0.113
Sm  0.310  0.994  0.429
Sm  0.190  0.571  0.006
Sm  0.690  0.006  0.571
Sm  0.810  0.429  0.994
Sm  0.114  0.707  0.477
Sm  0.386  0.523  0.293
Sm  0.886  0.293  0.523
Sm  0.614  0.477  0.707
Y  0.445  0.795  0.702
Y  0.055  0.298  0.205
Y  0.555  0.205  0.298
Y  0.945  0.702  0.795
Er  0.250  0.411  0.589
Er  0.750  0.589  0.411
Th  0.250  0.965  0.035
Th  0.750  0.035  0.965

=====

Entry 2:
A plane-wave DFT calculation with PBE was carried out for a relaxed Sm2Y5ErTh crystal.

Values from the calculation:
ΔE_f = 0.2949 eV/atom
Crystal system = tetragonal
VASP energy = -5.676 eV per atom

Cell lengths 8.753, 8.753, 9.855 Å; angles 116.36, 116.36, 90.00 degrees
Fractional positions:
Sm  0.115  0.385  0.000
Sm  0.615  0.115  0.000
Sm  0.385  0.885  0.000
Sm  0.885  0.615  0.000
Y  0.927  0.427  0.277
Y  0.650  0.150  0.723
Y  0.073  0.573  0.723
Y  0.150  0.073  0.723
Y  0.573  0.650  0.723
Y  0.850  0.927  0.277
Y  0.427  0.350  0.277
Y  0.350  0.850  0.277
Y  0.500  0.500  0.000
Y  0.000  0.000  0.000
Er  0.250  0.750  0.500
Er  0.750  0.250  0.500
Th  0.250  0.250  0.500
Th  0.750  0.750  0.500

=====

Entry 3:
A plane-wave DFT calculation with PBE was carried out for a relaxed Sm2Y6ErTh crystal.

Values from the calculation:
ΔE_f = 0.1493 eV/atom
Crystal system = monoclinic
VASP energy = -5.871 eV per atom

Cell lengths 9.749, 8.749, 8.749 Å; angles 116.98, 94.81, 94.81 degrees
Fractional positions:
Sm  0.451  0.805  0.709
Sm  0.049  0.291  0.195
Sm  0.549  0.195  0.291
Sm  0.951  0.709  0.805
Y  0.057  0.117  0.747
Y  0.443  0.253  0.883
Y  0.943  0.883  0.253
Y  0.557  0.747  0.117
Y  0.316  0.983  0.425
Y  0.184  0.575  0.017
Y  0.684  0.017  0.575
Y  0.816  0.425  0.983
Y  0.117  0.702  0.492
Y  0.383  0.508  0.298
Y  0.883  0.298  0.508
Y  0.617  0.492  0.702
Er  0.250  0.406  0.594
Er  0.750  0.594  0.406
Th  0.250  0.978  0.022
Th  0.750  0.022  0.978

=====

Entry 4:
A plane-wave DFT calculation with PBE was carried out for a relaxed SmY2ErTh crystal.

Values from the calculation:
ΔE_f = 0.3386 eV/atom
Crystal system = monoclinic
VASP energy = -5.587 eV per atom

Cell lengths 6.384, 8.609, 6.292 Å; angles 97.18, 90.00, 90.00 degrees
Fractional positions:
Sm  0.000  0.000  0.000
Sm  0.000  0.000  0.500
Y  0.692  0.686  0.788
Y  0.692  0.314  0.712
Y  0.308  0.686  0.288
Y  0.308  0.314  0.212
Er  0.177  0.500  0.750
Er  0.823  0.500  0.250
Th  0.551  0.000  0.250
Th  0.449  0.000  0.750

=====

Entry 5:
A plane-wave DFT calculation with PBE was carried out for a relaxed Sm2YErTh crystal.

Values from the calculation:
ΔE_f = 0.3203 eV/atom
Crystal system = monoclinic
VASP energy = -5.257 eV per atom

Cell lengths 6.362, 8.533, 6.366 Å; angles 95.43, 90.00, 90.00 degrees
Fractional positions:
Sm  0.701  0.688  0.780
Sm  0.701  0.312  0.720
Sm  0.299  0.688  0.280
Sm  0.299  0.312  0.220
Y  0.000  0.000  0.000
Y  0.000  0.000  0.500
Er  0.182  0.500  0.750
Er  0.818  0.500  0.250
Th  0.550  0.000  0.250
Th  0.450  0.000  0.750

=====

Entry 6:
A plane-wave DFT calculation with PBE was carried out for a relaxed SmErThZn crystal.

Values from the calculation:
ΔE_f = -0.1555 eV/atom
Crystal system = tetragonal
VASP energy = -4.649 eV per atom

Cell lengths 3.574, 3.574, 8.601 Å; angles 90.00, 90.00, 90.00 degrees
Fractional positions:
Sm  0.500  0.500  0.785
Er  0.500  0.500  0.361
Th  0.000  0.000  0.078
Zn  0.000  0.000  0.561

=====

Entry 7:
A plane-wave DFT calculation with PBE was carried out for a relaxed SmErThZr crystal.

Values from the calculation:
ΔE_f = 0.1637 eV/atom
Crystal system = cubic
VASP energy = -6.149 eV per atom

Cell lengths 5.491, 5.491, 5.491 Å; angles 60.00, 60.00, 60.00 degrees
Fractional positions:
Zr  0.250  0.250  0.250
Sm  0.000  0.000  0.000
Th  0.500  0.500  0.500
Er  0.750  0.750  0.750

=====

Entry 8:
A plane-wave DFT calculation with PBE was carried out for a relaxed SmErTi4 crystal.

Values from the calculation:
ΔE_f = 0.2636 eV/atom
Crystal system = cubic
VASP energy = -6.547 eV per atom

Cell lengths 5.828, 5.828, 5.828 Å; angles 60.00, 60.00, 60.00 degrees
Fractional positions:
Ti  0.626  0.626  0.123
Ti  0.626  0.123  0.626
Ti  0.626  0.626  0.626
Ti  0.123  0.626  0.626
Sm  0.250  0.250  0.250
Er  0.000  0.000  0.000

=====

Entry 9:
A plane-wave DFT calculation with PBE was carried out for a relaxed SmEr4Tl2 crystal.

Values from the calculation:
ΔE_f = -0.1077 eV/atom
Crystal system = tetragonal
VASP energy = -4.065 eV per atom

Cell lengths 4.880, 9.388, 9.388 Å; angles 90.00, 90.00, 90.00 degrees
Fractional positions:
Sm  0.500  0.000  0.000
Sm  0.000  0.500  0.500
Er  0.000  0.109  0.357
Er  0.000  0.891  0.643
Er  0.500  0.143  0.609
Er  0.500  0.857  0.391
Er  0.500  0.391  0.857
Er  0.500  0.609  0.143
Er  0.000  0.357  0.109
Er  0.000  0.643  0.891
Tl  0.000  0.178  0.822
Tl  0.000  0.822  0.178
Tl  0.500  0.678  0.678
Tl  0.500  0.322  0.322

=====

Entry 10:
A plane-wave DFT calculation with PBE was carried out for a relaxed SmErTl6 crystal.

Values from the calculation:
ΔE_f = -0.2473 eV/atom
Crystal system = tetragonal
VASP energy = -3.182 eV per atom

Cell lengths 4.782, 4.782, 9.556 Å; angles 90.00, 90.00, 90.00 degrees
Fractional positions:
Sm  0.000  0.000  0.000
Er  0.000  0.000  0.500
Tl  0.500  0.500  0.000
Tl  0.500  0.500  0.500
Tl  0.500  0.000  0.253
Tl  0.500  0.000  0.747
Tl  0.000  0.500  0.253
Tl  0.000  0.500  0.747

=====

Entry 11:
A plane-wave DFT calculation with PBE was carried out for a relaxed Sm4Er5Tl crystal.

Values from the calculation:
ΔE_f = 0.1092 eV/atom
ΔE to the lowest computed polymorph = 69 meV per atom
Crystal system = tetragonal
VASP energy = -4.297 eV per atom

Cell lengths 5.784, 8.081, 8.081 Å; angles 82.64, 69.03, 69.03 degrees
Fractional positions:
Sm  0.461  0.314  0.686
Sm  0.775  0.686  0.686
Sm  0.147  0.314  0.314
Sm  0.461  0.686  0.314
Er  0.771  0.369  0.000
Er  0.140  0.000  0.631
Er  0.771  0.000  0.369
Er  0.140  0.631  0.000
Er  0.663  0.000  0.000
Tl  0.180  0.000  0.000

=====

Entry 12:
A plane-wave DFT calculation with PBE was carried out for a relaxed Sm15Er4Tl crystal.

Values from the calculation:
ΔE_f = -0.0214 eV/atom
Crystal system = tetragonal
VASP energy = -4.592 eV per atom

Cell lengths 5.046, 5.046, 25.478 Å; angles 90.00, 90.00, 90.00 degrees
Fractional positions:
Sm  0.500  0.500  0.000
Sm  0.500  0.500  0.197
Sm  0.500  0.500  0.399
Sm  0.500  0.500  0.601
Sm  0.500  0.500  0.803
Sm  0.500  0.000  0.098
Sm  0.500  0.000  0.299
Sm  0.500  0.000  0.500
Sm  0.500  0.000  0.701
Sm  0.500  0.000  0.902
Sm  0.000  0.500  0.098
Sm  0.000  0.500  0.299
Sm  0.000  0.500  0.500
Sm  0.000  0.500  0.701
Sm  0.000  0.500  0.902
Er  0.000  0.000  0.199
Er  0.000  0.000  0.400
Er  0.000  0.000  0.600
Er  0.000  0.000  0.801
Tl  0.000  0.000  0.000

=====

Entry 13:
A plane-wave DFT calculation with PBE was carried out for a relaxed Sm2Er2Tl crystal.

Values from the calculation:
ΔE_f = 0.0076 eV/atom
ΔE to the lowest computed polymorph = 48 meV per atom
Crystal system = hexagonal
VASP energy = -4.178 eV per atom

Cell lengths 5.446, 5.446, 12.146 Å; angles 90.00, 90.00, 120.00 degrees
Fractional positions:
Sm  0.333  0.667  0.586
Sm  0.667  0.333  0.086
Sm  0.667  0.333  0.414
Sm  0.333  0.667  0.914
Er  0.667  0.333  0.750
Er  0.000  0.000  0.000
Er  0.000  0.000  0.500
Er  0.333  0.667  0.250
Tl  0.000  0.000  0.250
Tl  0.000  0.000  0.750

=====

Entry 14:
A plane-wave DFT calculation with PBE was carried out for a relaxed SmEr4Tl crystal.

Values from the calculation:
ΔE_f = -0.0126 eV/atom
ΔE to the lowest computed polymorph = 90 meV per atom
Crystal system = monoclinic
VASP energy = -4.235 eV per atom

Cell lengths 6.407, 8.953, 8.236 Å; angles 112.64, 99.64, 114.06 degrees
Fractional positions:
Sm  0.339  0.589  0.178
Sm  0.661  0.411  0.822
Er  0.038  0.157  0.745
Er  0.754  0.713  0.619
Er  0.206  0.587  0.745
Er  0.366  0.906  0.619
Er  0.634  0.094  0.381
Er  0.794  0.413  0.255
Er  0.246  0.287  0.381
Er  0.962  0.843  0.255
Tl  0.250  0.000  0.000
Tl  0.750  0.000  0.000

=====

Entry 15:
A plane-wave DFT calculation with PBE was carried out for a relaxed Sm4ErTl3 crystal.

Values from the calculation:
ΔE_f = -0.2429 eV/atom
ΔE to the lowest computed polymorph = 0 meV per atom
Crystal system = monoclinic
VASP energy = -4.060 eV per atom

Cell lengths 4.846, 10.465, 19.002 Å; angles 163.87, 97.33, 90.00 degrees
Fractional positions:
Sm  0.285  0.926  0.570
Sm  0.715  0.074  0.430
Sm  0.643  0.188  0.287
Sm  0.357  0.812  0.713
Er  0.500  0.000  0.000
Tl  0.000  0.500  0.000
Tl  0.051  0.361  0.101
Tl  0.949  0.639  0.899

=====

Entry 16:
A plane-wave DFT calculation with PBE was carried out for a relaxed Sm2Er2Tl crystal.

Values from the calculation:
ΔE_f = -0.0406 eV/atom
ΔE to the lowest computed polymorph = 0 meV per atom
Crystal system = monoclinic
VASP energy = -4.227 eV per atom

Cell lengths 8.496, 6.370, 8.974 Å; angles 69.55, 58.40, 48.17 degrees
Fractional positions:
Sm  0.678  0.372  0.713
Sm  0.322  0.628  0.287
Sm  0.050  0.628  0.713
Sm  0.950  0.372  0.287
Er  0.723  0.000  0.433
Er  0.609  0.000  0.113
Er  0.391  0.000  0.887
Er  0.277  0.000  0.567
Tl  0.169  0.663  0.000
Tl  0.831  0.337  0.000

=====

Entry 17:
A plane-wave DFT calculation with PBE was carried out for a relaxed Sm12Er6Tl crystal.

Values from the calculation:
ΔE_f = 0.0834 eV/atom
Crystal system = trigonal
VASP energy = -4.463 eV per atom

Cell lengths 8.549, 8.549, 8.549 Å; angles 88.72, 88.72, 88.72 degrees
Fractional positions:
Sm  0.784  0.538  0.432
Sm  0.432  0.784  0.538
Sm  0.538  0.432  0.784
Sm  0.216  0.462  0.568
Sm  0.568  0.216  0.462
Sm  0.462  0.568  0.216
Sm  0.015  0.180  0.364
Sm  0.820  0.636  0.985
Sm  0.636  0.985  0.820
Sm  0.985  0.820  0.636
Sm  0.180  0.364  0.015
Sm  0.364  0.015  0.180
Er  0.743  0.900  0.287
Er  0.713  0.257  0.100
Er  0.100  0.713  0.257
Er  0.257  0.100  0.713
Er  0.287  0.743  0.900
Er  0.900  0.287  0.743
Tl  0.000  0.000  0.000

=====

Entry 18:
A plane-wave DFT calculation with PBE was carried out for a relaxed Sm4Er5Tl2 crystal.

Values from the calculation:
ΔE_f = 0.0039 eV/atom
Crystal system = monoclinic
VASP energy = -4.216 eV per atom

Cell lengths 3.515, 8.623, 11.342 Å; angles 93.79, 90.00, 90.00 degrees
Fractional positions:
Sm  0.500  0.709  0.548
Sm  0.500  0.144  0.888
Sm  0.500  0.291  0.452
Sm  0.500  0.856  0.112
Er  0.000  0.574  0.293
Er  0.000  0.205  0.171
Er  0.000  0.500  0.000
Er  0.000  0.795  0.829
Er  0.000  0.426  0.707
Tl  0.000  0.056  0.636
Tl  0.000  0.944  0.364

=====

Entry 19:
A plane-wave DFT calculation with PBE was carried out for a relaxed Sm5ErTl crystal.

Values from the calculation:
ΔE_f = 0.1790 eV/atom
Crystal system = tetragonal
VASP energy = -4.182 eV per atom

Cell lengths 4.787, 4.787, 10.419 Å; angles 90.00, 90.00, 90.00 degrees
Fractional positions:
Sm  0.500  0.500  0.000
Sm  0.500  0.000  0.245
Sm  0.000  0.500  0.245
Sm  0.500  0.000  0.755
Sm  0.000  0.500  0.755
Er  0.000  0.000  0.500
Tl  0.000  0.000  0.000

=====

Entry 20:
A plane-wave DFT calculation with PBE was carried out for a relaxed Sm9ErTl2 crystal.

Values from the calculation:
ΔE_f = -0.1204 eV/atom
Crystal system = tetragonal
VASP energy = -4.434 eV per atom

Cell lengths 4.953, 4.953, 15.222 Å; angles 90.00, 90.00, 90.00 degrees
Fractional positions:
Sm  0.500  0.500  0.000
Sm  0.500  0.500  0.336
Sm  0.500  0.500  0.664
Sm  0.500  0.000  0.171
Sm  0.500  0.000  0.500
Sm  0.500  0.000  0.829
Sm  0.000  0.500  0.171
Sm  0.000  0.500  0.500
Sm  0.000  0.500  0.829
Er  0.000  0.000  0.000
Tl  0.000  0.000  0.340
Tl  0.000  0.000  0.660